The following is a PBE with a Hubbard U calculation of HgGeWF2 after structural relaxation, from Alexandria via LeMat-Bulk.

Cell lengths 4.1673, 6.0945, 4.1673 Å; angles 90.00, 90.00, 90.00 degrees
With the nearest neighbours (Å) after each atom.
Element x y z (fractional)
Hg  0.0000  0.5000  0.0000  4 Ge 2.95, 2 W 3.05
F  0.5000  0.0000  0.0000  2 W 2.08
F  0.0000  0.0000  0.5000  2 W 2.08
Ge  0.5000  0.5000  0.5000  4 Hg 2.95
W  0.0000  0.0000  0.0000  4 F 2.08

Summary:
Its crystal system is tetragonal. The volume comes out at 21.17 Å³/atom. The space group is P4/mmm (123). As for the electronic total energy: -4.02 eV/atom.